The following is a PBE calculation of YZn2Pd5 after structural relaxation, from Alexandria via LeMat-Bulk.

```
YZn2Pd5
1.0
-2.0058 1.4266 -3.1975
-6.5298 -2.1822 0.5764
-5.5355 3.3509 2.4213
Zn Pd Y
2 5 1
direct
0.7873 0.7127 0.7127 Zn
0.2127 0.2873 0.2873 Zn
0.6231 0.1409 0.6129 Pd
0.3769 0.8591 0.3871 Pd
0.3769 0.3871 0.8591 Pd
0.0000 0.5000 0.5000 Pd
0.6231 0.6129 0.1409 Pd
0.0000 0.0000 0.0000 Y
```

Energy = -4.92 eV/atom
Space group = Immm, No. 71
Density of states at the Fermi level = 1.936 states/eV/cell
E_form = -0.55 eV/atom

=====

The following is a PBE calculation of Sr2AlTlSb after structural relaxation, from Alexandria via LeMat-Bulk.

```
Sr2AlTlSb
1.0
6.2535 0.0000 0.0000
0.0000 5.7415 0.0000
0.0000 0.0000 6.2535
Sb Tl Sr Al
1 1 2 1
direct
0.0000 0.0000 0.0000 Sb
0.0000 0.5000 0.0000 Tl
0.5000 0.0000 0.0000 Sr
0.0000 0.0000 0.5000 Sr
0.5000 0.5000 0.5000 Al
```

Energy = -2.61 eV/atom
Space group = P4/mmm, No. 123
Raw formation energy = 107 meV per atom
Density of states at the Fermi level = 4.550 states/eV/cell

=====

The following is a PBE calculation of TaP3W after structural relaxation, from Alexandria via LeMat-Bulk.

```
TaP3W
1.0
-0.2598 -2.3976 3.9525
-3.3048 -2.6718 -1.8380
3.2325 -2.9242 -1.5614
Ta P W
1 3 1
direct
0.5000 0.5000 0.5000 Ta
0.5000 0.0000 0.0000 P
0.0000 0.0000 0.5000 P
0.0000 0.5000 0.0000 P
0.0000 0.0000 0.0000 W
```

Energy = -7.10 eV/atom
Space group = Pm-3m, No. 221
Density of states at the Fermi level = 9.305 states/eV/cell
E_form = 1.11 eV/atom
Energy relative to the lowest polymorph listed for this composition = 0.000 eV per atom

=====

The following is a PBE calculation of ReOsRh2 after structural relaxation, from Alexandria via LeMat-Bulk.

```
ReOsRh2
1.0
0.0000 3.0887 3.0887
3.0887 0.0000 3.0887
3.0887 3.0887 0.0000
Os Re Rh
1 1 2
direct
0.5000 0.5000 0.5000 Os
0.0000 0.0000 0.0000 Re
0.7500 0.7500 0.7500 Rh
0.2500 0.2500 0.2500 Rh
```

Energy = -9.01 eV/atom
Space group = Fm-3m, No. 225
Density of states at the Fermi level = 6.627 states/eV/cell
E_form = 0.58 eV/atom
Energy relative to the lowest polymorph listed for this composition = 0.640 eV per atom